No. 1
# GGA-PBE ZnAgTeN2, relaxed
data_ZnAgTeN2
_chemical_formula_sum 'Zn1 Ag1 Te1 N2'
_cell_length_a 4.005
_cell_length_b 4.005
_cell_length_c 6.144
_cell_angle_alpha 90.00
_cell_angle_beta 90.00
_cell_angle_gamma 90.00
_space_group_name_H-M_alt 'P 1'
_space_group_IT_number 1
loop_
_space_group_symop_operation_xyz
'x,y,z'
loop_
_atom_site_label
_atom_site_fract_x
_atom_site_fract_y
_atom_site_fract_z
Zn1 0.000 0.000 0.000
Te1 0.000 0.000 0.500
Ag1 0.500 0.500 0.500
N1 0.000 0.500 0.000
N2 0.500 0.000 0.000
# E_form (uncorrected): 683 kJ/mol of formula units
# Total magnetic moment: 3.8 μB per formula unit
# Raw total energy: -3.37 eV per atom
# Relative energy among the computed polymorphs: 0 meV per atom

---

No. 2
# GGA-PBE Na3PbS, relaxed
data_Na3PbS
_chemical_formula_sum 'Na3 Pb1 S1'
_cell_length_a 5.869
_cell_length_b 5.869
_cell_length_c 5.869
_cell_angle_alpha 90.00
_cell_angle_beta 90.00
_cell_angle_gamma 90.00
_space_group_name_H-M_alt 'P 1'
_space_group_IT_number 1
loop_
_space_group_symop_operation_xyz
'x,y,z'
loop_
_atom_site_label
_atom_site_fract_x
_atom_site_fract_y
_atom_site_fract_z
Pb1 0.000 0.000 0.000
Na1 0.000 0.500 0.000
Na2 0.000 0.000 0.500
Na3 0.500 0.000 0.000
S1 0.500 0.500 0.500
# E_form (uncorrected): 154 kJ/mol of formula units
# Total magnetic moment: 3.0 μB per formula unit
# Raw total energy: -2.04 eV per atom
# Relative energy among the computed polymorphs: 700 meV per atom

---

No. 3
# GGA-PBE CaBe2Si, relaxed
data_CaBe2Si
_chemical_formula_sum 'Ca1 Be2 Si1'
_cell_length_a 4.815
_cell_length_b 4.815
_cell_length_c 4.815
_cell_angle_alpha 133.08
_cell_angle_beta 107.17
_cell_angle_gamma 91.25
_space_group_name_H-M_alt 'P 1'
_space_group_IT_number 1
loop_
_space_group_symop_operation_xyz
'x,y,z'
loop_
_atom_site_label
_atom_site_fract_x
_atom_site_fract_y
_atom_site_fract_z
Be1 0.988 0.988 0.000
Be2 0.848 0.348 0.500
Ca1 0.498 0.498 0.000
Si1 0.166 0.666 0.500
# E_form (uncorrected): 111 kJ/mol of formula units
# Total magnetic moment: 0.0 μB per formula unit
# Raw total energy: -3.43 eV per atom

---

No. 4
# GGA-PBE CdAsW2, relaxed
data_CdAsW2
_chemical_formula_sum 'Cd1 As1 W2'
_cell_length_a 5.345
_cell_length_b 5.345
_cell_length_c 5.345
_cell_angle_alpha 144.08
_cell_angle_beta 128.81
_cell_angle_gamma 64.11
_space_group_name_H-M_alt 'P 1'
_space_group_IT_number 1
loop_
_space_group_symop_operation_xyz
'x,y,z'
loop_
_atom_site_label
_atom_site_fract_x
_atom_site_fract_y
_atom_site_fract_z
As1 0.521 0.521 0.000
W1 0.979 0.979 0.000
W2 0.747 0.247 0.500
Cd1 0.253 0.753 0.500
# Total magnetic moment: 0.0 μB per formula unit
# Raw total energy: -7.23 eV per atom
# ΔE_f: 0.641 eV/atom
# Relative energy among the computed polymorphs: 306 meV per atom

---

No. 5
# GGA-PBE As4Se, relaxed
data_As4Se
_chemical_formula_sum 'As4 Se1'
_cell_length_a 4.997
_cell_length_b 4.997
_cell_length_c 4.997
_cell_angle_alpha 90.00
_cell_angle_beta 90.00
_cell_angle_gamma 90.00
_space_group_name_H-M_alt 'P 1'
_space_group_IT_number 1
loop_
_space_group_symop_operation_xyz
'x,y,z'
loop_
_atom_site_label
_atom_site_fract_x
_atom_site_fract_y
_atom_site_fract_z
As1 0.000 0.000 0.000
As2 0.500 0.000 0.500
As3 0.000 0.500 0.500
As4 0.500 0.500 0.000
Se1 0.500 0.500 0.500
# E_form (uncorrected): 488 kJ/mol of formula units
# Total magnetic moment: 0.0 μB per formula unit
# Raw total energy: -3.41 eV per atom
# Relative energy among the computed polymorphs: 412 meV per atom

---

No. 6
# GGA-PBE VCoH4, relaxed
data_VCoH4
_chemical_formula_sum 'V1 Co1 H4'
_cell_length_a 2.906
_cell_length_b 2.906
_cell_length_c 4.100
_cell_angle_alpha 90.00
_cell_angle_beta 90.00
_cell_angle_gamma 90.00
_space_group_name_H-M_alt 'P 1'
_space_group_IT_number 1
loop_
_space_group_symop_operation_xyz
'x,y,z'
loop_
_atom_site_label
_atom_site_fract_x
_atom_site_fract_y
_atom_site_fract_z
V1 0.500 0.500 0.000
Co1 0.000 0.000 0.500
H1 0.500 0.000 0.278
H2 0.500 0.000 0.722
H3 0.000 0.500 0.722
H4 0.000 0.500 0.278
# Total magnetic moment: 0.0 μB per formula unit
# Raw total energy: -4.97 eV per atom
# Relative energy among the computed polymorphs: 11 meV per atom

---

No. 7
# GGA-PBE SrTbP2S8, relaxed
data_SrTbP2S8
_chemical_formula_sum 'Sr1 Tb1 P2 S8'
_cell_length_a 6.018
_cell_length_b 6.018
_cell_length_c 9.186
_cell_angle_alpha 90.00
_cell_angle_beta 90.00
_cell_angle_gamma 120.00
_space_group_name_H-M_alt 'P 1'
_space_group_IT_number 1
loop_
_space_group_symop_operation_xyz
'x,y,z'
loop_
_atom_site_label
_atom_site_fract_x
_atom_site_fract_y
_atom_site_fract_z
Sr1 0.000 0.000 0.000
Tb1 0.000 0.000 0.500
P1 0.667 0.333 0.240
P2 0.333 0.667 0.760
S1 0.333 0.667 0.982
S2 0.344 0.344 0.302
S3 0.656 0.000 0.302
S4 0.667 0.333 0.018
S5 0.344 0.000 0.698
S6 0.656 0.656 0.698
S7 0.000 0.344 0.698
S8 0.000 0.656 0.302
# E_form (uncorrected): -928 kJ/mol of formula units
# Total magnetic moment: 0.2 μB per formula unit
# Raw total energy: -4.98 eV per atom

---

No. 8
# GGA-PBE DyAl6Cu12, relaxed
data_DyAl6Cu12
_chemical_formula_sum 'Dy1 Al6 Cu12'
_cell_length_a 6.823
_cell_length_b 6.823
_cell_length_c 6.823
_cell_angle_alpha 104.24
_cell_angle_beta 104.24
_cell_angle_gamma 104.24
_space_group_name_H-M_alt 'P 1'
_space_group_IT_number 1
loop_
_space_group_symop_operation_xyz
'x,y,z'
loop_
_atom_site_label
_atom_site_fract_x
_atom_site_fract_y
_atom_site_fract_z
Dy1 0.000 0.000 0.000
Al1 0.701 0.286 0.286
Al2 0.286 0.286 0.701
Al3 0.286 0.701 0.286
Al4 0.714 0.714 0.299
Al5 0.299 0.714 0.714
Al6 0.714 0.299 0.714
Cu1 0.888 0.112 0.500
Cu2 0.879 0.627 0.627
Cu3 0.627 0.627 0.879
Cu4 0.373 0.121 0.373
Cu5 0.373 0.373 0.121
Cu6 0.121 0.373 0.373
Cu7 0.112 0.500 0.888
Cu8 0.500 0.888 0.112
Cu9 0.112 0.888 0.500
Cu10 0.888 0.500 0.112
Cu11 0.500 0.112 0.888
Cu12 0.627 0.879 0.627
# Total magnetic moment: 0.0 μB per formula unit
# Raw total energy: -4.10 eV per atom
# ΔE_f: -0.089 eV/atom